Below is a crystal of InHg2Br relaxed with PBEsol, with properties calculated at the meta-GGA SCAN level.

Values from the calculation:
Electronic total energy: -47.568 eV/atom
Crystal system: monoclinic
Energy above the most stable polymorph in this dataset: 23 meV per atom
SG: C2/m, No. 12
M_tot: 0.0 μB/f.u.
Formation energy without anion corrections: -26.4 kJ per mole of atoms

```
4
Lattice="3.014 -5.805 0.000 3.014 5.805 0.000 -2.992 0.000 3.155" Properties=species:S:1:pos:R:3 pbc="T T T"
In 0.000 0.000 0.000
Hg 0.011 2.902 1.577
Hg 0.011 -2.902 1.577
Br 3.014 0.000 0.000
```